Computed, not measured: K2BaBS at its PBEsol-relaxed geometry at the meta-GGA SCAN level of DFT.

Cell lengths 4.6360, 6.4475, 6.4475 Å; angles 90.00, 90.00, 90.00 degrees
Closest atoms and distances in Å follow each position.
Element x y z (fractional)
1 B 0.5000 0.0000 0.0000  2 Ba 2.32
2 K 0.0000 0.0000 0.5000  2 Ba 3.22
3 K 0.0000 0.5000 0.0000  2 Ba 3.22
4 S 0.5000 0.5000 0.5000  8 K 3.97
5 Ba 0.0000 0.0000 0.0000  2 B 2.32

Properties
VASP energy in Ha/atom: -0.505
Energy relative to the elements, uncorrected in eV per atom: 0.909